No. 1
Er4CoSn2 PBE optimized geometry; energy of formation from the pure elements = -0.494 eV per atom; Fermi-level density of states = 5.204 states/eV per cell; energy above the lowest structure with this stoichiometry = 0 meV/atom; crystal system = monoclinic; space-group type = C2/m, No. 12
1.0
4.506 0.000 0.000
0.000 8.404 -1.069
-2.253 -4.765 5.347
Co Er Sn
1 4 2
Direct
0.000 0.000 0.000
0.335 0.729 0.670
0.067 0.787 0.134
0.933 0.213 0.866
0.665 0.271 0.330
0.654 0.642 0.309
0.346 0.358 0.691



No. 2
SrCeAgGe PBE optimized geometry; energy of formation from the pure elements = -0.366 eV per atom; Fermi-level density of states = 8.718 states/eV per cell; crystal system = cubic; space-group type = F-43m, No. 216
1.0
5.349 0.000 0.000
2.675 4.632 0.000
2.675 1.544 4.367
Ge Ce Sr Ag
1 1 1 1
Direct
0.750 0.750 0.750
0.000 0.000 0.000
0.500 0.500 0.500
0.250 0.250 0.250



No. 3
Na3Tl3RhCl8 PBE optimized geometry; crystal system = monoclinic; space-group type = C2/m, No. 12; formation energy from raw total energies = -1.167 eV/atom
1.0
8.141 0.000 0.000
-4.070 7.163 -0.023
0.000 -4.746 7.422
Tl Na Cl Rh
3 3 8 1
Direct
0.000 0.000 0.000
0.500 0.500 0.000
0.000 0.500 0.000
0.500 0.000 0.500
0.500 0.500 0.500
0.000 0.500 0.500
0.736 0.472 0.709
0.799 0.021 0.319
0.222 0.021 0.319
0.236 0.473 0.711
0.264 0.528 0.291
0.778 0.979 0.681
0.764 0.527 0.289
0.201 0.979 0.681
0.000 0.000 0.500



No. 4
Li2Tb2Rh3 PBE optimized geometry; energy of formation from the pure elements = -0.477 eV per atom; Fermi-level density of states = 2.290 states/eV per cell; crystal system = orthorhombic; space-group type = Cmmm, No. 65
1.0
-3.325 0.423 -0.287
0.165 -0.845 -3.156
-3.309 -10.799 2.719
Tb Li Rh
2 2 3
Direct
0.421 0.500 0.158
0.579 0.500 0.842
0.709 0.500 0.583
0.291 0.500 0.417
0.848 0.000 0.304
0.152 0.000 0.696
0.000 0.000 0.000



No. 5
Ce7I12N PBE optimized geometry; Fermi-level density of states = 50.675 states/eV per cell; crystal system = trigonal; space-group type = R-3, No. 148; formation energy from raw total energies = -1.233 eV/atom
1.0
-8.480 4.585 1.694
-0.763 -9.051 3.646
6.938 4.656 5.099
Ce I N
7 12 1
Direct
0.713 0.900 0.967
0.500 0.500 0.500
0.033 0.287 0.100
0.900 0.967 0.713
0.100 0.033 0.287
0.287 0.100 0.033
0.967 0.713 0.900
0.684 0.226 0.076
0.148 0.389 0.474
0.076 0.684 0.226
0.611 0.526 0.852
0.852 0.611 0.526
0.774 0.924 0.316
0.526 0.852 0.611
0.316 0.774 0.924
0.389 0.474 0.148
0.474 0.148 0.389
0.226 0.076 0.684
0.924 0.316 0.774
0.000 0.000 0.000



No. 6
Sm2Tm17 PBE optimized geometry; energy of formation from the pure elements = 0.283 eV per atom; Fermi-level density of states = 37.546 states/eV per cell; crystal system = trigonal; space-group type = R-3m, No. 166
1.0
8.387 -0.416 1.943
1.451 8.271 1.943
-0.520 -0.416 8.593
Tm Sm
17 2
Direct
0.900 0.900 0.900
0.000 0.701 0.299
0.636 0.636 0.147
0.364 0.853 0.364
0.000 0.500 0.000
0.100 0.100 0.100
0.853 0.364 0.364
0.500 0.000 0.000
0.000 0.299 0.701
0.701 0.000 0.299
0.701 0.299 0.000
0.299 0.701 0.000
0.364 0.364 0.853
0.299 0.000 0.701
0.147 0.636 0.636
0.000 0.000 0.500
0.636 0.147 0.636
0.327 0.327 0.327
0.673 0.673 0.673



No. 7
HoZr3Al8 PBE optimized geometry; energy of formation from the pure elements = -0.521 eV per atom; Fermi-level density of states = 4.065 states/eV per cell; energy above the lowest structure with this stoichiometry = 0 meV/atom; crystal system = trigonal; space-group type = R3m, No. 160
1.0
-3.605 0.295 3.974
1.217 -1.897 4.878
2.358 7.345 5.227
Al Zr Ho
8 3 1
Direct
0.435 0.937 0.691
0.439 0.940 0.183
0.937 0.435 0.691
0.187 0.187 0.438
0.940 0.439 0.183
0.688 0.688 0.937
0.439 0.439 0.183
0.937 0.937 0.691
0.001 0.001 0.997
0.375 0.375 0.874
0.498 0.498 0.506
0.875 0.875 0.375



No. 8
Cu4Pt PBE optimized geometry; energy of formation from the pure elements = 0.225 eV per atom; Fermi-level density of states = 2.784 states/eV per cell; energy above the lowest structure with this stoichiometry = 327 meV/atom; crystal system = tetragonal; space-group type = I4/mmm, No. 139
1.0
1.184 5.532 3.001
-0.616 6.220 -1.394
-2.505 -5.892 0.103
Cu Pt
4 1
Direct
0.600 0.600 0.000
0.400 0.400 0.000
0.250 0.750 0.500
0.750 0.250 0.500
0.000 0.000 0.000